# 1
A geometry-optimized Ga2Cu2Ag structure. Source: the Alexandria database, functional PBE.

The symmetry is No. 139. The value obtained for the distance to the lowest polymorph of the same formula is 119 meV/atom. The energy relative to the elements comes out at 0.11 eV/atom.

Cell: 3.7256 3.7256 6.4033 Å, 73.09 73.09 90.00°
Element x y z (fractional)
Cu 0.3973 0.3973 0.2055
Cu 0.6027 0.6027 0.7945
Ga 0.7500 0.2500 0.5000
Ga 0.2500 0.7500 0.5000
Ag 0.0000 0.0000 0.0000

***

# 2
A geometry-optimized SmPt6Au structure. Source: the Alexandria database, functional PBE.

The symmetry is No. 200. The energy relative to the elements comes out at -0.11 eV/atom.

Cell: 5.2359 5.2359 5.2359 Å, 90.00 90.00 90.00°
Element x y z (fractional)
Sm 0.5000 0.5000 0.5000
Pt 0.5000 0.7543 0.0000
Pt 0.7543 0.0000 0.5000
Pt 0.0000 0.5000 0.2457
Pt 0.2457 0.0000 0.5000
Pt 0.5000 0.2457 0.0000
Pt 0.0000 0.5000 0.7543
Au 0.0000 0.0000 0.0000

***

# 3
A geometry-optimized CsK4Sb4 structure. Source: the Alexandria database, functional PBE.

The symmetry is No. 86. For the formation energy from raw total energies, the calculation gives -0.2897 eV/atom.

Cell: 7.0598 11.3895 11.3895 Å, 90.00 90.00 90.00°
Site moments in Bohr magnetons follow the coordinates.
Element x y z (fractional)
Cs 0.0000 0.0000 0.0000  0.02
Cs 0.5000 0.5000 0.5000  0.02
K 0.3630 0.3491 0.8860  0.01
K 0.8630 0.6140 0.8491  0.01
K 0.3630 0.6509 0.1140  0.01
K 0.1370 0.1509 0.6140  0.01
K 0.6370 0.8860 0.6509  0.01
K 0.1370 0.8491 0.3860  0.01
K 0.8630 0.3860 0.1509  0.01
K 0.6370 0.1140 0.3491  0.01
Sb 0.6395 0.7963 0.3384  0.17
Sb 0.6395 0.2037 0.6616  0.17
Sb 0.1395 0.8384 0.7037  0.17
Sb 0.8605 0.2963 0.8384  0.17
Sb 0.8605 0.7037 0.1616  0.17
Sb 0.3605 0.3384 0.2037  0.17
Sb 0.3605 0.6616 0.7963  0.17
Sb 0.1395 0.1616 0.2963  0.17

***

# 4
A geometry-optimized Sr4Ge2I structure. Source: the Alexandria database, functional PBE.

The symmetry is No. 2. For the formation energy from raw total energies, the calculation gives -0.6604 eV/atom.

Cell: 9.6825 9.6848 9.6516 Å, 119.95 119.84 90.23°
Site moments in Bohr magnetons follow the coordinates.
Element x y z (fractional)
Sr 0.8537 0.1463 0.2910  0.02
Sr 0.3963 0.6037 0.2090  0.02
Sr 0.8556 0.5627 0.7091  0.02
Sr 0.8538 0.1463 0.7090  0.02
Sr 0.4373 0.1445 0.2909  0.02
Sr 0.3944 0.1873 0.7909  0.02
Sr 0.3962 0.6037 0.7911  0.02
Sr 0.8126 0.6055 0.2091  0.02
Ge 0.6250 0.3750 0.7500  0.13
Ge 0.6250 0.8750 0.2500  0.13
Ge 0.6250 0.3750 0.2500  0.13
Ge 0.1250 0.3750 0.7500  0.13
I 0.2493 0.7502 0.5001  0.00
I 0.0007 0.9998 0.9999  0.00

***

# 5
A geometry-optimized Li5Se3N2 structure. Source: the Alexandria database, functional PBE.

The symmetry is No. 2. For the formation energy from raw total energies, the calculation gives -0.4348 eV/atom.

Cell: 8.0863 6.8179 6.8246 Å, 112.32 91.81 91.86°
Site moments in Bohr magnetons follow the coordinates.
Element x y z (fractional)
Li 0.4513 0.1781 0.9297  0.01
Li 0.9517 0.9296 0.1772  0.01
Li 0.5487 0.8219 0.0703  0.01
Li 0.0483 0.0704 0.8228  0.01
Li 0.1353 0.5966 0.0130  0.00
Li 0.8647 0.4034 0.9870  0.00
Li 0.7491 0.6106 0.3857  0.00
Li 0.2509 0.3894 0.6143  0.00
Li 0.3652 0.9885 0.4023  0.00
Li 0.6348 0.0115 0.5977  0.00
Se 0.6120 0.4467 0.7083  0.11
Se 0.1101 0.7096 0.4469  0.11
Se 0.3880 0.5533 0.2917  0.11
Se 0.8899 0.2904 0.5531  0.11
Se 0.2502 0.9553 0.0416  0.02
Se 0.7498 0.0447 0.9584  0.02
N 0.9534 0.6566 0.2402  0.18
N 0.4544 0.2408 0.6566  0.18
N 0.0466 0.3434 0.7598  0.18
N 0.5456 0.7592 0.3434  0.18

***

# 6
A geometry-optimized ScVZnRe structure. Source: the Alexandria database, functional PBE.

The symmetry is No. 216. The energy relative to the elements comes out at -0.09 eV/atom.

Cell: 4.4596 4.4596 4.4596 Å, 60.00 60.00 60.00°
Site moments in Bohr magnetons follow the coordinates.
Element x y z (fractional)
Sc 0.7500 0.7500 0.7500  -0.01
Re 0.5000 0.5000 0.5000  -0.29
Zn 0.0000 0.0000 0.0000  0.01
V 0.2500 0.2500 0.2500  0.97

***

The volume results, record by record, are as follows: 81; 144; 458; 320; 174; 63 Å³/f.u..
The VASP energy results, record by record, are as follows: -16.54; -45.10; -48.68; -44.27; -82.04; -29.53 eV per cell.